No. 1
# LiCd2Pb

LiCd2Pb at its PBEsol-relaxed geometry (SCAN, Alexandria via LeMat-Bulk).

abc: 3.296 4.057 6.558
angles: 90.00 90.00 90.00
Fractional coordinates of all 4 atoms:
Li  0.000  0.000  0.000
Cd  0.000  0.000  0.544
Cd  0.500  0.500  0.777
Pb  0.500  0.500  0.256

The value obtained for the formation energy from the elements is -0.14 eV per atom. The electronic total energy is -34.8880 eV per atom. The value obtained for the density of states at the Fermi level is 1.4 states/eV per cell. For the mass density, the calculation gives 8.3 g cm⁻³.

No. 2
# FeNi

FeNi at its PBEsol-relaxed geometry (SCAN, Alexandria via LeMat-Bulk).

abc: 2.449 2.449 7.149
angles: 90.00 90.00 90.00
Fractional coordinates of all 4 atoms:
Fe  0.250  0.250  0.132
Fe  0.750  0.750  0.868
Ni  0.250  0.250  0.622
Ni  0.750  0.750  0.378

The value obtained for the formation energy from the elements is -0.06 eV per atom. The electronic total energy is -17.2162 eV per atom. The value obtained for the density of states at the Fermi level is 3.2 states/eV per cell. For the mass density, the calculation gives 8.9 g cm⁻³.

No. 3
# ZnAs2Os2

ZnAs2Os2 at its PBEsol-relaxed geometry (SCAN, Alexandria via LeMat-Bulk).

abc: 5.523 5.523 5.523
angles: 134.73 134.73 65.95
Fractional coordinates of all 5 atoms:
Zn  0.000  0.000  0.000
As  0.372  0.372  0.000
As  0.628  0.628  0.000
Os  0.250  0.750  0.500
Os  0.750  0.250  0.500

The value obtained for the formation energy from the elements is 0.27 eV per atom. The electronic total energy is -39.2629 eV per atom. The value obtained for the density of states at the Fermi level is 1.3 states/eV per cell. For the mass density, the calculation gives 11.8 g cm⁻³.

No. 4
# PuPt3

PuPt3 at its PBEsol-relaxed geometry (SCAN, Alexandria via LeMat-Bulk).

abc: 4.084 4.084 4.084
angles: 90.00 90.00 90.00
Fractional coordinates of all 4 atoms:
Pu  0.000  0.000  0.000
Pt  0.000  0.500  0.500
Pt  0.500  0.000  0.500
Pt  0.500  0.500  0.000

The value obtained for the formation energy from the elements is -0.61 eV per atom. The electronic total energy is -80.7887 eV per atom. The value obtained for the density of states at the Fermi level is 14.7 states/eV per cell. For the mass density, the calculation gives 20.2 g cm⁻³.

Question: Which of these has the highest formation energy from the elements?
Answer: ZnAs2Os2

Question: Which value of formation energy from the elements does entry 4 give?
Answer: -0.61 eV per atom